Record 1
Below is a relaxed structure of TbPr6Y2Ho3, with properties calculated at the PBE level.

Values from the calculation:
Electronic total energy = -4.987 eV/atom
E_form = 0.0100 eV per atom
D(E_F) = 1.102 states/eV per atom

Unit cell a=6.3127 b=6.3127 c=11.8941 alpha=95.06 beta=95.06 gamma=120.00
With the nearest neighbours (Å) after each atom.
Positions (direct):
Ho1 0.8333 0.1667 0.5000  6 Pr 3.59-3.60, 6 Ho 3.64
Ho2 0.5000 0.5000 0.5000  6 Pr 3.59, 6 Ho 3.64
Ho3 0.1667 0.8333 0.5000  6 Pr 3.59-3.60, 6 Ho 3.64
Pr1 0.5835 0.9162 0.7487  3 Ho 3.59-3.60, 1 Tb 3.62, 2 Y 3.62, 6 Pr 3.64-3.65
Pr2 0.9162 0.5835 0.7487  3 Ho 3.59-3.60, 1 Tb 3.62, 2 Y 3.62, 6 Pr 3.64-3.65
Pr3 0.2490 0.2490 0.7487  3 Ho 3.59, 1 Tb 3.61, 2 Y 3.62, 6 Pr 3.64-3.65
Pr4 0.7510 0.7510 0.2513  3 Ho 3.59, 1 Tb 3.61, 2 Y 3.62, 6 Pr 3.64-3.65
Pr5 0.4165 0.0838 0.2513  3 Ho 3.59-3.60, 1 Tb 3.62, 2 Y 3.62, 6 Pr 3.64-3.65
Pr6 0.0838 0.4165 0.2513  3 Ho 3.59-3.60, 1 Tb 3.62, 2 Y 3.62, 6 Pr 3.64-3.65
Y1 0.6666 0.3334 0.0000  6 Pr 3.62, 3 Y 3.64-3.65, 3 Tb 3.64-3.65
Y2 0.3334 0.6666 0.0000  6 Pr 3.62, 3 Y 3.64-3.65, 3 Tb 3.64-3.65
Tb1 0.0000 0.0000 0.0000  6 Pr 3.61-3.62, 6 Y 3.64-3.65

---

Record 2
Below is a relaxed structure of K2AsCl5F, with properties calculated at the PBE level.

Values from the calculation:
Electronic total energy = -3.391 eV/atom
Formation energy from raw total energies = -1.397 eV/atom
D(E_F) = 0.441 states/eV per atom

Unit cell a=6.9748 b=6.9748 c=6.9748 alpha=91.31 beta=119.25 gamma=119.25
With the nearest neighbours (Å) after each atom.
Positions (direct):
K1 0.5000 0.7456 0.2456  10 Cl 3.46-3.53, 2 F 3.57
K2 0.5000 0.2456 0.7456  10 Cl 3.46-3.53, 2 F 3.57
Cl1 0.0000 0.7511 0.2325  1 As 2.40
Cl2 0.5187 0.7511 0.7511  1 As 2.40
Cl3 0.0000 0.2448 0.2448  1 As 2.45
Cl4 0.4813 0.2325 0.2325  1 As 2.40
Cl5 0.0000 0.2325 0.7511  1 As 2.40
F1 0.0000 0.8027 0.8027  1 As 1.86
As1 0.0000 0.9940 0.9940  1 F 1.86

---

Record 3
Below is a relaxed structure of GaRe2Te, with properties calculated at the PBE level.

Values from the calculation:
Electronic total energy = -6.978 eV/atom
Formation energy from raw total energies = 0.788 eV/atom
Offset from the most stable computed form = 0.240 eV per atom
D(E_F) = 2.075 states/eV per atom

Unit cell a=4.1588 b=4.1588 c=9.4571 alpha=77.30 beta=77.30 gamma=90.00
With the nearest neighbours (Å) after each atom.
Positions (direct):
Re1 0.8750 0.7978 0.7500  2 Re 2.53, 2 Ga 2.58, 2 Te 2.83
Re2 0.5478 0.1250 0.2500  2 Re 2.53, 2 Ga 2.58, 2 Te 2.83
Re3 0.3750 0.4522 0.7500  2 Re 2.53, 2 Ga 2.58, 2 Te 2.83
Re4 0.2022 0.6250 0.2500  2 Re 2.53, 2 Ga 2.58, 2 Te 2.83
Te1 0.7500 0.2500 0.5000  4 Re 2.83, 4 Ga 2.94
Te2 0.0000 0.0000 0.0000  4 Re 2.83, 4 Ga 2.94
Ga1 0.5000 0.5000 0.0000  4 Re 2.58
Ga2 0.2500 0.7500 0.5000  4 Re 2.58